! ReSb2TeN (PBE, relaxed); values from VASP
&SYSTEM
  ibrav = 0, nat = 5, ntyp = 4
/
ATOMIC_SPECIES
Sb 121.76 Sb.upf
N 14.01 N.upf
Te 127.60 Te.upf
Re 186.21 Re.upf
CELL_PARAMETERS angstrom
-4.154 0.603 2.975
-1.536 -4.766 -1.179
2.580 -1.814 3.970
ATOMIC_POSITIONS crystal
Sb 0.000 0.500 0.000
Sb 0.500 0.000 0.000
N 0.500 0.500 0.500
Te 0.000 0.000 0.500
Re 0.000 0.000 0.000
! Offset from the most stable computed form, eV/f.u.: 2.67
! Raw formation energy, eV/f.u.: 8.43
! Calculated volume, Å³/cell: 134.19
! DOS(E_F), states/eV/cell: 4.099